The following is a DFT calculation (PBE-GGA) of a relaxed Ho12TlNi6 crystal.

For the spin magnetization, the calculation gives 0.2 μB/f.u. As for the crystal system: cubic. The density is 9.4 g cm⁻³. The raw total energy is -5.14 eV per atom.

The structure in CIF format:
```
data_Ho12TlNi6
_chemical_formula_sum 'Ho24 Tl2 Ni12'
_cell_length_a 9.634
_cell_length_b 9.634
_cell_length_c 9.634
_cell_angle_alpha 90.00
_cell_angle_beta 90.00
_cell_angle_gamma 90.00
_space_group_name_H-M_alt 'I m -3'
_space_group_IT_number 204
_space_group_name_Hall '-I 2 2 3'
loop_
_atom_site_label
_atom_site_fract_x
_atom_site_fract_y
_atom_site_fract_z
Ho1 0.000 0.188 0.303
Tl1 0.000 0.000 0.000
Ni1 0.000 0.377 0.500
```


The following is a DFT calculation (PBE-GGA) of a relaxed Ho6TlNi2 crystal.

For the spin magnetization, the calculation gives 0.0 μB/f.u. As for the crystal system: orthorhombic. The density is 9.6 g cm⁻³. The raw total energy is -4.88 eV per atom.

The structure in CIF format:
```
data_Ho6TlNi2
_chemical_formula_sum 'Ho24 Tl4 Ni8'
_cell_length_a 9.289
_cell_length_b 9.697
_cell_length_c 10.040
_cell_angle_alpha 90.00
_cell_angle_beta 90.00
_cell_angle_gamma 90.00
_space_group_name_H-M_alt 'I m m m'
_space_group_IT_number 71
_space_group_name_Hall '-I 2 2'
loop_
_atom_site_label
_atom_site_fract_x
_atom_site_fract_y
_atom_site_fract_z
Ho1 0.000 0.206 0.233
Ho2 0.193 0.500 0.175
Ho3 0.207 0.317 0.500
Tl1 0.000 0.000 0.000
Tl2 0.000 0.000 0.500
Ni1 0.000 0.357 0.000
Ni2 0.000 0.500 0.376
```


The following is a DFT calculation (PBE-GGA) of a relaxed HoTmTlNi2 crystal.

For the spin magnetization, the calculation gives 0.0 μB/f.u. As for the crystal system: orthorhombic. The density is 10.9 g cm⁻³. The raw total energy is -5.00 eV per atom.

The structure in CIF format:
```
data_HoTmTlNi2
_chemical_formula_sum 'Ho2 Tm2 Tl2 Ni4'
_cell_length_a 3.641
_cell_length_b 3.842
_cell_length_c 14.326
_cell_angle_alpha 90.00
_cell_angle_beta 90.00
_cell_angle_gamma 90.00
_space_group_name_H-M_alt 'A m m 2'
_space_group_IT_number 38
loop_
_space_group_symop_operation_xyz
'x,y,z'
'-x,-y,z'
'-x,y,z'
'x,-y,z'
'x,y+1/2,z+1/2'
'-x,-y+1/2,z+1/2'
'-x,y+1/2,z+1/2'
'x,-y+1/2,z+1/2'
loop_
_atom_site_label
_atom_site_fract_x
_atom_site_fract_y
_atom_site_fract_z
Ho1 0.000 0.000 0.000
Tm1 0.000 0.000 0.280
Tl1 0.500 0.000 0.640
Ni1 0.500 0.000 0.439
Ni2 0.500 0.000 0.840
```


The following is a DFT calculation (PBE-GGA) of a relaxed YHoTl4Ni2 crystal.

For the spin magnetization, the calculation gives 0.0 μB/f.u. As for the crystal system: orthorhombic. The density is 11.3 g cm⁻³. The raw total energy is -4.13 eV per atom.

The structure in CIF format:
```
data_YHoTl4Ni2
_chemical_formula_sum 'Y2 Ho2 Tl8 Ni4'
_cell_length_a 7.509
_cell_length_b 4.347
_cell_length_c 10.702
_cell_angle_alpha 90.00
_cell_angle_beta 90.00
_cell_angle_gamma 90.00
_space_group_name_H-M_alt 'A m m 2'
_space_group_IT_number 38
loop_
_space_group_symop_operation_xyz
'x,y,z'
'-x,-y,z'
'-x,y,z'
'x,-y,z'
'x,y+1/2,z+1/2'
'-x,-y+1/2,z+1/2'
'-x,y+1/2,z+1/2'
'x,-y+1/2,z+1/2'
loop_
_atom_site_label
_atom_site_fract_x
_atom_site_fract_y
_atom_site_fract_z
Y1 0.000 0.000 0.000
Ho1 0.500 0.000 0.861
Tl1 0.204 0.000 0.290
Tl2 0.297 0.000 0.572
Ni1 0.000 0.000 0.718
Ni2 0.500 0.000 0.143
```